Entry from the Alexandria database: a relaxed structure of TbPmMgPa (PBE).

The structure belongs to space group F-43m (No. 216); the cell edges are 7.678, 7.678 and 7.678 Å and the angles 90.00°, 90.00° and 90.00°. The distinct sites, in fractional coordinates, are Tb at (0.000, 0.000, 0.000), Pm at (0.000, 0.000, 0.500), Mg at (0.250, 0.250, 0.750) and Pa at (0.250, 0.250, 0.250).

Its density is 8.21 g/cm³. As for the final energy: -76.48 eV/cell. The calculation puts the formation energy at 32.6 kJ/mol of atoms. As for the density of states at the Fermi level: 34.34 states/eV/cell.

=====

Entry from the Alexandria database: a relaxed structure of PmTmMgPa (PBE).

The structure belongs to space group F-43m (No. 216); the cell edges are 7.634, 7.634 and 7.634 Å and the angles 90.00°, 90.00° and 90.00°. The distinct sites, in fractional coordinates, are Pm at (0.000, 0.000, 0.000), Tm at (0.000, 0.000, 0.500), Mg at (0.250, 0.250, 0.750) and Pa at (0.250, 0.250, 0.250).

Its density is 8.50 g/cm³. As for the final energy: -75.75 eV/cell. The calculation puts the formation energy at 33.2 kJ/mol of atoms. As for the density of states at the Fermi level: 34.63 states/eV/cell.

=====

Entry from the Alexandria database: a relaxed structure of PrMg4Pa (PBE).

The structure belongs to space group F-43m (No. 216); the cell edges are 8.495, 8.495 and 8.495 Å and the angles 90.00°, 90.00° and 90.00°. The distinct sites, in fractional coordinates, are Pr at (0.000, 0.000, 0.000), Mg at (0.125, 0.125, 0.375) and Pa at (0.250, 0.250, 0.750).

Its density is 5.08 g/cm³. As for the final energy: -79.09 eV/cell. The calculation puts the formation energy at 14.2 kJ/mol of atoms. As for the density of states at the Fermi level: 24.02 states/eV/cell.

=====

Entry from the Alexandria database: a relaxed structure of PrMgPa (PBE).

The structure belongs to space group C2/m (No. 12); the cell edges are 17.590, 3.251 and 6.135 Å and the angles 90.00°, 106.69° and 90.00°. The distinct sites, in fractional coordinates, are Pr at (0.246, 0.000, 0.250), Mg at (0.077, 0.500, 0.935) and Pa at (0.071, 0.000, 0.452).

Its density is 7.83 g/cm³. As for the final energy: -60.60 eV/cell. The calculation puts the formation energy at 23.1 kJ/mol of atoms. As for the density of states at the Fermi level: 19.85 states/eV/cell.

=====

Entry from the Alexandria database: a relaxed structure of PrSmMgPa (PBE).

The structure belongs to space group F-43m (No. 216); the cell edges are 7.758, 7.758 and 7.758 Å and the angles 90.00°, 90.00° and 90.00°. The distinct sites, in fractional coordinates, are Pr at (0.000, 0.000, 0.000), Sm at (0.000, 0.000, 0.500), Mg at (0.250, 0.250, 0.250) and Pa at (0.250, 0.250, 0.750).

Its density is 7.77 g/cm³. As for the final energy: -76.88 eV/cell. The calculation puts the formation energy at 33.0 kJ/mol of atoms. As for the density of states at the Fermi level: 34.03 states/eV/cell.

=====

Entry from the Alexandria database: a relaxed structure of TbPrMgPa (PBE).

The structure belongs to space group F-43m (No. 216); the cell edges are 7.717, 7.717 and 7.717 Å and the angles 90.00°, 90.00° and 90.00°. The distinct sites, in fractional coordinates, are Tb at (0.000, 0.000, 0.000), Pr at (0.000, 0.000, 0.500), Mg at (0.250, 0.250, 0.750) and Pa at (0.250, 0.250, 0.250).

Its density is 8.02 g/cm³. As for the final energy: -76.55 eV/cell. The calculation puts the formation energy at 32.9 kJ/mol of atoms. As for the density of states at the Fermi level: 32.56 states/eV/cell.

=====

Entry from the Alexandria database: a relaxed structure of PrTmMgPa (PBE).

The structure belongs to space group F-43m (No. 216); the cell edges are 7.669, 7.669 and 7.669 Å and the angles 90.00°, 90.00° and 90.00°. The distinct sites, in fractional coordinates, are Pr at (0.000, 0.000, 0.000), Tm at (0.000, 0.000, 0.500), Mg at (0.250, 0.250, 0.250) and Pa at (0.250, 0.250, 0.750).

Its density is 8.32 g/cm³. As for the final energy: -75.83 eV/cell. The calculation puts the formation energy at 33.4 kJ/mol of atoms. As for the density of states at the Fermi level: 32.73 states/eV/cell.

=====

Entry from the Alexandria database: a relaxed structure of Mg3PaPt12 (PBE).

The structure belongs to space group P4/mmm (No. 123); the cell edges are 4.040, 4.040 and 15.925 Å and the angles 90.00°, 90.00° and 90.00°. The distinct sites, in fractional coordinates, are Mg at (0.000, 0.000, 0.000), Mg at (0.000, 0.000, 0.241), Pa at (0.000, 0.000, 0.500), Pt at (0.000, 0.500, 0.121), Pt at (0.000, 0.500, 0.369), Pt at (0.500, 0.500, 0.000), Pt at (0.500, 0.500, 0.244) and Pt at (0.500, 0.500, 0.500).

Its density is 16.90 g/cm³. As for the final energy: -98.43 eV/cell. The calculation puts the formation energy at -70.3 kJ/mol of atoms. As for the density of states at the Fermi level: 14.07 states/eV/cell.